Entry 1:
Here is an optimized crystal structure of Mn4V5Ru from Alexandria. Energies are from GGA-PBE.

Computed properties:
Space-group type: P4/mmm, No. 123
Magnetic moment, μB per formula unit: 0.00
ΔH_f (0 K), meV per atom: -279
Crystal system: tetragonal
VASP energy, eV per atom: -9.434

a = 2.898 Å, b = 2.898 Å, c = 14.551 Å
α = 90.00°, β = 90.00°, γ = 90.00°
Atoms (fractional coordinates):
V (0.500, 0.500, 0.304)
V (0.500, 0.500, 0.890)
V (0.500, 0.500, 0.696)
V (0.500, 0.500, 0.110)
V (0.500, 0.500, 0.500)
Mn (0.000, 0.000, 0.402)
Mn (0.000, 0.000, 0.598)
Mn (0.000, 0.000, 0.796)
Mn (0.000, 0.000, 0.204)
Ru (0.000, 0.000, 0.000)

Entry 2:
Here is an optimized crystal structure of Mn2VRu from Alexandria. Energies are from GGA-PBE.

Computed properties:
Relative energy among the computed polymorphs, eV/atom: 0.024
Space-group type: P4/mmm, No. 123
Magnetic moment, μB per formula unit: 0.00
ΔH_f (0 K), meV per atom: 3
Crystal system: tetragonal
VASP energy, eV per atom: -9.180

a = 2.846 Å, b = 2.846 Å, c = 6.019 Å
α = 90.00°, β = 90.00°, γ = 90.00°
Atoms (fractional coordinates):
Ru (0.500, 0.500, 0.500)
Mn (0.000, 0.000, 0.229)
Mn (0.000, 0.000, 0.771)
V (0.500, 0.500, 0.000)

Entry 3:
Here is an optimized crystal structure of Mn2V3Ru from Alexandria. Energies are from GGA-PBE.

Computed properties:
Space-group type: P4/mmm, No. 123
Magnetic moment, μB per formula unit: 0.00
ΔH_f (0 K), meV per atom: -279
Crystal system: tetragonal
VASP energy, eV per atom: -9.441

a = 2.912 Å, b = 2.912 Å, c = 8.809 Å
α = 90.00°, β = 90.00°, γ = 90.00°
Atoms (fractional coordinates):
V (0.000, 0.000, 0.680)
V (0.000, 0.000, 0.000)
V (0.000, 0.000, 0.320)
Ru (0.500, 0.500, 0.500)
Mn (0.500, 0.500, 0.163)
Mn (0.500, 0.500, 0.837)

Entry 4:
Here is an optimized crystal structure of MnVRu from Alexandria. Energies are from GGA-PBE.

Computed properties:
Relative energy among the computed polymorphs, eV/atom: 0.131
Space-group type: P3m1, No. 156
Magnetic moment, μB per formula unit: 2.37
ΔH_f (0 K), meV per atom: -46
Crystal system: trigonal
VASP energy, eV per atom: -9.234

a = 2.652 Å, b = 4.160 Å, c = 4.160 Å
α = 120.00°, β = 90.00°, γ = 90.00°
Atoms (fractional coordinates):
Ru (0.028, 0.000, 0.000)
Mn (0.632, 0.333, 0.667)
V (0.340, 0.667, 0.333)

Entry 5:
Here is an optimized crystal structure of MnV2Ru2 from Alexandria. Energies are from GGA-PBE.

Computed properties:
Relative energy among the computed polymorphs, eV/atom: 0.000
Space-group type: Cmmm, No. 65
Magnetic moment, μB per formula unit: 0.00
ΔH_f (0 K), meV per atom: -91
Crystal system: orthorhombic
VASP energy, eV per atom: -9.283

a = 2.913 Å, b = 2.895 Å, c = 8.129 Å
α = 79.74°, β = 90.00°, γ = 90.00°
Atoms (fractional coordinates):
Mn (0.000, 0.000, 0.000)
V (0.500, 0.590, 0.820)
V (0.500, 0.410, 0.180)
Ru (0.000, 0.181, 0.637)
Ru (0.000, 0.819, 0.363)

Entry 6:
Here is an optimized crystal structure of Mn3VRu from Alexandria. Energies are from GGA-PBE.

Computed properties:
Relative energy among the computed polymorphs, eV/atom: 0.000
Space-group type: Pm-3m, No. 221
Magnetic moment, μB per formula unit: 8.06
ΔH_f (0 K), meV per atom: 1175
Crystal system: cubic
VASP energy, eV per atom: -8.006

a = 4.276 Å, b = 4.276 Å, c = 4.276 Å
α = 90.00°, β = 90.00°, γ = 90.00°
Atoms (fractional coordinates):
Mn (0.500, 0.000, 0.000)
Mn (0.000, 0.000, 0.500)
Mn (0.000, 0.500, 0.000)
Ru (0.500, 0.500, 0.500)
V (0.000, 0.000, 0.000)

Entry 7:
Here is an optimized crystal structure of Mn2V2Ru from Alexandria. Energies are from GGA-PBE.

Computed properties:
Relative energy among the computed polymorphs, eV/atom: 0.073
Space-group type: P4/mbm, No. 127
Magnetic moment, μB per formula unit: 0.00
ΔH_f (0 K), meV per atom: 86
Crystal system: tetragonal
VASP energy, eV per atom: -9.085

a = 6.668 Å, b = 6.668 Å, c = 2.863 Å
α = 90.00°, β = 90.00°, γ = 90.00°
Atoms (fractional coordinates):
V (0.699, 0.801, 0.500)
V (0.801, 0.301, 0.500)
V (0.301, 0.199, 0.500)
V (0.199, 0.699, 0.500)
Ru (0.500, 0.500, 0.000)
Ru (0.000, 0.000, 0.000)
Mn (0.389, 0.889, 0.000)
Mn (0.889, 0.611, 0.000)
Mn (0.611, 0.111, 0.000)
Mn (0.111, 0.389, 0.000)

Entry 8:
Here is an optimized crystal structure of Mn2VRu from Alexandria. Energies are from GGA-PBE.

Computed properties:
Relative energy among the computed polymorphs, eV/atom: 0.000
Space-group type: Fm-3m, No. 225
Magnetic moment, μB per formula unit: 3.44
ΔH_f (0 K), meV per atom: -20
Crystal system: cubic
VASP energy, eV per atom: -9.204

a = 4.201 Å, b = 4.201 Å, c = 4.201 Å
α = 60.00°, β = 60.00°, γ = 60.00°
Atoms (fractional coordinates):
V (0.500, 0.500, 0.500)
Mn (0.750, 0.750, 0.750)
Mn (0.250, 0.250, 0.250)
Ru (0.000, 0.000, 0.000)

Entry 9:
Here is an optimized crystal structure of MnV2Ru4 from Alexandria. Energies are from GGA-PBE.

Computed properties:
Space-group type: R-3m, No. 166
Magnetic moment, μB per formula unit: 2.99
ΔH_f (0 K), meV per atom: 53
Crystal system: trigonal
VASP energy, eV per atom: -9.163

a = 4.160 Å, b = 4.160 Å, c = 7.193 Å
α = 73.19°, β = 73.19°, γ = 60.00°
Atoms (fractional coordinates):
Ru (0.873, 0.873, 0.380)
Ru (0.127, 0.127, 0.620)
Ru (0.376, 0.376, 0.871)
Ru (0.624, 0.624, 0.129)
V (0.754, 0.754, 0.739)
V (0.246, 0.246, 0.261)
Mn (0.000, 0.000, 0.000)

Entry 10:
Here is an optimized crystal structure of MnV5Ru2 from Alexandria. Energies are from GGA-PBE.

Computed properties:
Space-group type: I4/mmm, No. 139
Magnetic moment, μB per formula unit: 0.00
ΔH_f (0 K), meV per atom: -296
Crystal system: tetragonal
VASP energy, eV per atom: -9.460

a = 4.182 Å, b = 4.182 Å, c = 6.660 Å
α = 108.30°, β = 108.30°, γ = 90.00°
Atoms (fractional coordinates):
V (0.881, 0.381, 0.761)
V (0.619, 0.119, 0.239)
V (0.381, 0.881, 0.761)
V (0.500, 0.500, 0.000)
V (0.119, 0.619, 0.239)
Ru (0.751, 0.751, 0.502)
Ru (0.249, 0.249, 0.498)
Mn (0.000, 0.000, 0.000)

Entry 11:
Here is an optimized crystal structure of Mn2VRu from Alexandria. Energies are from GGA-PBE.

Computed properties:
Relative energy among the computed polymorphs, eV/atom: 0.029
Space-group type: P4/mmm, No. 123
Magnetic moment, μB per formula unit: 3.76
ΔH_f (0 K), meV per atom: 8
Crystal system: tetragonal
VASP energy, eV per atom: -9.175

a = 3.938 Å, b = 3.601 Å, c = 3.601 Å
α = 90.00°, β = 90.00°, γ = 90.00°
Atoms (fractional coordinates):
V (0.500, 0.500, 0.500)
Mn (0.000, 0.000, 0.500)
Mn (0.000, 0.500, 0.000)
Ru (0.500, 0.000, 0.000)

Entry 12:
Here is an optimized crystal structure of MnV3Ru from Alexandria. Energies are from GGA-PBE.

Computed properties:
Relative energy among the computed polymorphs, eV/atom: 0.000
Space-group type: C2/m, No. 12
Magnetic moment, μB per formula unit: 0.00
ΔH_f (0 K), meV per atom: -208
Crystal system: monoclinic
VASP energy, eV per atom: -9.368

a = 4.193 Å, b = 5.075 Å, c = 6.466 Å
α = 97.50°, β = 108.90°, γ = 90.04°
Atoms (fractional coordinates):
V (0.896, 0.796, 0.792)
V (0.699, 0.898, 0.399)
V (0.104, 0.204, 0.208)
V (0.500, 0.500, 0.000)
V (0.500, 0.000, 0.000)
V (0.301, 0.102, 0.601)
Mn (0.304, 0.601, 0.608)
Mn (0.696, 0.399, 0.392)
Ru (0.899, 0.297, 0.798)
Ru (0.101, 0.703, 0.202)